No. 1
VASP calculation (PBE) on a geometry-optimized NdYSe2 structure.

Lattice parameters (Å, degrees): 4.134 4.134 7.267 73.35 73.35 60.21
Element x y z (fractional)
Nd: 0.500 0.500 0.500
Y: 0.000 0.000 0.000
Se: 0.746 0.746 0.763
Se: 0.254 0.254 0.237

The distance to the lowest polymorph of the same formula comes out at 2 meV per atom.

***

No. 2
VASP calculation (PBE) on a geometry-optimized NdY3Se4 structure.

Lattice parameters (Å, degrees): 5.837 5.837 5.837 90.00 90.00 90.00
Element x y z (fractional)
Nd: 0.000 0.000 0.000
Y: 0.000 0.500 0.500
Y: 0.500 0.000 0.500
Y: 0.500 0.500 0.000
Se: 0.500 0.000 0.000
Se: 0.000 0.500 0.000
Se: 0.000 0.000 0.500
Se: 0.500 0.500 0.500

The distance to the lowest polymorph of the same formula comes out at 22 meV per atom.

***

No. 3
VASP calculation (PBE) on a geometry-optimized Nd2YSe3 structure.

Lattice parameters (Å, degrees): 4.183 5.910 7.253 114.04 106.76 90.00
Element x y z (fractional)
Nd: 0.828 0.828 0.156
Nd: 0.172 0.172 0.844
Y: 0.500 0.500 0.500
Se: 0.842 0.342 0.183
Se: 0.158 0.658 0.817
Se: 0.500 0.000 0.500

The distance to the lowest polymorph of the same formula comes out at 0 meV per atom.

***

No. 4
VASP calculation (PBE) on a geometry-optimized NdYSe2 structure.

Lattice parameters (Å, degrees): 4.091 4.091 14.076 90.00 90.00 120.00
Element x y z (fractional)
Nd: 0.667 0.333 0.250
Nd: 0.333 0.667 0.750
Y: 0.000 0.000 0.500
Y: 0.000 0.000 0.000
Se: 0.333 0.667 0.382
Se: 0.667 0.333 0.882
Se: 0.667 0.333 0.618
Se: 0.333 0.667 0.118

The distance to the lowest polymorph of the same formula comes out at 0 meV per atom.

***

No. 5
VASP calculation (PBE) on a geometry-optimized NdY2Se4 structure.

Lattice parameters (Å, degrees): 4.034 7.056 13.897 90.00 90.00 106.61
Element x y z (fractional)
Nd: 0.625 0.249 0.750
Nd: 0.375 0.751 0.250
Y: 0.130 0.261 0.432
Y: 0.870 0.739 0.932
Y: 0.130 0.261 0.068
Y: 0.870 0.739 0.568
Se: 0.775 0.549 0.120
Se: 0.775 0.549 0.380
Se: 0.225 0.451 0.880
Se: 0.225 0.451 0.620
Se: 0.963 0.926 0.750
Se: 0.037 0.074 0.250
Se: 0.500 0.000 0.000
Se: 0.500 0.000 0.500

For the electronic total energy, the calculation gives -6.393 eV per atom.

***

No. 6
VASP calculation (PBE) on a geometry-optimized Nd4YSe6 structure.

Lattice parameters (Å, degrees): 8.336 8.336 8.336 88.94 88.94 91.06
Element x y z (fractional)
Nd: 0.364 0.136 0.250
Nd: 0.864 0.250 0.364
Nd: 0.250 0.636 0.136
Nd: 0.250 0.250 0.750
Nd: 0.750 0.750 0.250
Nd: 0.750 0.364 0.864
Nd: 0.136 0.750 0.636
Nd: 0.636 0.864 0.750
Y: 0.500 0.500 0.500
Y: 0.000 0.000 0.000
Se: 0.681 0.061 0.084
Se: 0.084 0.319 0.061
Se: 0.584 0.439 0.181
Se: 0.939 0.084 0.681
Se: 0.561 0.181 0.584
Se: 0.181 0.416 0.439
Se: 0.819 0.584 0.561
Se: 0.439 0.819 0.416
Se: 0.061 0.916 0.319
Se: 0.416 0.561 0.819
Se: 0.916 0.681 0.939
Se: 0.319 0.939 0.916

For the electronic total energy, the calculation gives -5.959 eV per atom.

***

No. 7
VASP calculation (PBE) on a geometry-optimized Nd3YSe6 structure.

Lattice parameters (Å, degrees): 8.605 8.605 8.605 91.16 91.16 91.16
Element x y z (fractional)
Nd: 0.430 0.921 0.753
Nd: 0.921 0.753 0.430
Nd: 0.247 0.570 0.079
Nd: 0.753 0.430 0.921
Nd: 0.079 0.247 0.570
Nd: 0.570 0.079 0.247
Y: 0.000 0.000 0.000
Y: 0.500 0.500 0.500
Se: 0.311 0.913 0.082
Se: 0.087 0.918 0.689
Se: 0.589 0.815 0.461
Se: 0.918 0.689 0.087
Se: 0.461 0.589 0.815
Se: 0.185 0.539 0.411
Se: 0.815 0.461 0.589
Se: 0.539 0.411 0.185
Se: 0.082 0.311 0.913
Se: 0.411 0.185 0.539
Se: 0.913 0.082 0.311
Se: 0.689 0.087 0.918

For the electronic total energy, the calculation gives -6.034 eV per atom.

***

No. 8
VASP calculation (PBE) on a geometry-optimized Nd2Y3Se6 structure.

Lattice parameters (Å, degrees): 7.156 7.131 7.182 80.43 70.64 59.88
Element x y z (fractional)
Nd: 0.165 0.670 0.500
Nd: 0.835 0.330 0.500
Y: 0.000 0.000 0.000
Y: 0.334 0.331 0.000
Y: 0.666 0.669 0.000
Se: 0.414 0.672 0.758
Se: 0.741 0.000 0.755
Se: 0.087 0.328 0.758
Se: 0.259 0.000 0.245
Se: 0.586 0.328 0.242
Se: 0.913 0.672 0.242

For the electronic total energy, the calculation gives -6.416 eV per atom.

***

The calculation returns the following M_tot values, one per record and in order: 0.000; 0.000; 0.000; 0.000; 0.000; 0.000; 0.000; 0.000 μB per formula unit.
The calculation returns the following density of states at the Fermi level values, one per record and in order: 1.94; 5.15; 2.80; 3.25; 3.86; 10.81; 0.00; 4.61 states/eV per cell.